SrInNO2: relaxed, PBE.

POSCAR file:
```
SrInNO2
1.0
4.767 0.000 0.000
0.000 4.767 0.000
0.000 0.000 4.963
In O Sr N
1 2 1 1
direct
0.500 0.500 0.500 In
0.000 0.500 0.000 O
0.500 0.000 0.000 O
0.000 0.000 0.000 Sr
0.000 0.000 0.500 N
```

Output
Space group   P4/mmm (123)
Calculated density   3.66 g/cm³
Electronic total energy   -4.2905 eV/atom
Volume   22.55 Å³/atom